# 1
VASP calculation (PBE) on crystalline Dy2BeO4 at its relaxed geometry.

Cell lengths 6.2906, 6.2906, 6.2906 Å; angles 120.00, 90.00, 120.00 degrees
Element x y z (fractional)
Be1 0.0000 0.0000 0.0000
Be2 0.7500 0.5000 0.2500
Dy1 0.3750 0.7500 0.1250
Dy2 0.3750 0.7500 0.6250
Dy3 0.3750 0.2500 0.6250
Dy4 0.8750 0.2500 0.6250
O1 0.1193 0.2387 0.3580
O2 0.1080 0.7387 0.3693
O3 0.6306 0.2613 0.3693
O4 0.6307 0.7387 0.3694
O5 0.1193 0.7613 0.8806
O6 0.1194 0.2387 0.8807
O7 0.6420 0.7613 0.8807
O8 0.6307 0.2613 0.8920

Space group   Fd-3m
Size of the total moment   0.0 μB/f.u.
Calculated total energy   -105.2 eV for the cell shown



# 2
VASP calculation (PBE) on crystalline Zn2Au at its relaxed geometry.

Cell lengths 4.7915, 8.8428, 4.4762 Å; angles 90.00, 90.00, 90.00 degrees
Element x y z (fractional)
Au1 0.0212 0.6691 0.0000
Au2 0.0212 0.9976 0.0000
Au3 0.8122 0.1691 0.5000
Au4 0.8122 0.4976 0.5000
Zn1 0.4922 0.1709 0.0000
Zn2 0.0067 0.3333 0.0000
Zn3 0.4922 0.4957 0.0000
Zn4 0.5122 0.8333 0.0000
Zn5 0.3211 0.3333 0.5000
Zn6 0.3411 0.6709 0.5000
Zn7 0.8266 0.8333 0.5000
Zn8 0.3411 0.9957 0.5000

Space group   Pmmn
Calculated total energy   -25.0 eV for the cell shown
ΔE_f   -154 meV/atom



# 3
VASP calculation (PBE) on crystalline Ta2Hg at its relaxed geometry.

Cell lengths 5.3593, 5.3593, 5.3593 Å; angles 104.93, 104.93, 118.99 degrees
Element x y z (fractional)
Hg1 0.2500 0.2500 0.0000
Hg2 0.7500 0.7500 0.0000
Ta1 0.8537 0.3537 0.2074
Ta2 0.3537 0.1463 0.5000
Ta3 0.6463 0.8537 0.5000
Ta4 0.1463 0.6463 0.7926

Space group   I4/mcm
Size of the total moment   0.0 μB/f.u.
Calculated total energy   -44.7 eV for the cell shown
ΔE_f   550 meV/atom



# 4
VASP calculation (PBE) on crystalline InGe2Mo2 at its relaxed geometry.

Cell lengths 7.1268, 7.1268, 7.1268 Å; angles 150.39, 150.39, 42.37 degrees
Element x y z (fractional)
Ge1 0.7500 0.2500 0.5000
Ge2 0.2500 0.7500 0.5000
In1 0.0000 0.0000 0.0000
Mo1 0.3968 0.3968 0.0000
Mo2 0.6032 0.6032 0.0000

Space group   I4/mmm
Size of the total moment   0.0 μB/f.u.
Calculated total energy   -32.5 eV for the cell shown



# 5
VASP calculation (PBE) on crystalline SrCoNiAs2 at its relaxed geometry.

Cell lengths 6.3907, 6.3907, 6.3907 Å; angles 143.48, 143.48, 52.60 degrees
Element x y z (fractional)
As1 0.6076 0.1076 0.5000
As2 0.8924 0.3924 0.5000
Co1 0.0000 0.0000 0.0000
Ni1 0.5000 0.5000 0.0000
Sr1 0.2500 0.7500 0.5000

Space group   I-4m2
Size of the total moment   1.1 μB/f.u.
Calculated total energy   -26.8 eV for the cell shown



# 6
VASP calculation (PBE) on crystalline ErSi2 at its relaxed geometry.

Cell lengths 4.0884, 4.0884, 3.8634 Å; angles 90.00, 90.00, 120.00 degrees
Element x y z (fractional)
Er1 0.0000 0.0000 0.0000
Si1 0.6667 0.3334 0.5000
Si2 0.3334 0.6667 0.5000

Space group   P6/mmm
Size of the total moment   0.0 μB/f.u.
Calculated total energy   -16.9 eV for the cell shown



# 7
VASP calculation (PBE) on crystalline K2ZnSbHS4 at its relaxed geometry.

Cell lengths 7.1278, 7.4241, 8.6826 Å; angles 78.45, 89.15, 86.75 degrees
Element x y z (fractional)
H1 0.9003 0.6309 0.4047
H2 0.0997 0.3691 0.5953
K1 0.7681 0.8858 0.0836
K2 0.2966 0.8455 0.4429
K3 0.7034 0.1545 0.5571
K4 0.2319 0.1142 0.9164
S1 0.1884 0.6754 0.1421
S2 0.4949 0.1935 0.2039
S3 0.9958 0.1749 0.2596
S4 0.7170 0.6099 0.4469
S5 0.2830 0.3901 0.5531
S6 0.0042 0.8251 0.7404
S7 0.5051 0.8065 0.7961
S8 0.8116 0.3246 0.8579
Sb1 0.7559 0.3951 0.1214
Sb2 0.2441 0.6049 0.8786
Zn1 0.2389 0.3739 0.2861
Zn2 0.7611 0.6261 0.7139

Space group   P-1
Calculated total energy   -68.8 eV for the cell shown



# 8
VASP calculation (PBE) on crystalline Sc3ZnN at its relaxed geometry.

Cell lengths 6.2071, 6.2071, 6.2071 Å; angles 59.87, 59.87, 59.87 degrees
Element x y z (fractional)
N1 0.0000 0.0000 0.0000
N2 0.5000 0.5000 0.5000
Sc1 0.2973 0.7500 0.2027
Sc2 0.7973 0.7027 0.2500
Sc3 0.7500 0.2027 0.2973
Sc4 0.2500 0.7973 0.7027
Sc5 0.2027 0.2973 0.7500
Sc6 0.7027 0.2500 0.7973
Zn1 0.2500 0.2500 0.2500
Zn2 0.7500 0.7500 0.7500

Space group   R-3c
Size of the total moment   0.0 μB/f.u.
Calculated total energy   -67.0 eV for the cell shown



# 9
VASP calculation (PBE) on crystalline TlCdCuAg at its relaxed geometry.

Cell lengths 4.7961, 4.7961, 4.7961 Å; angles 60.00, 60.00, 60.00 degrees
Element x y z (fractional)
Ag1 0.2500 0.2500 0.2500
Cd1 0.5000 0.5000 0.5000
Cu1 0.7500 0.7500 0.7500
Tl1 0.0000 0.0000 0.0000

Space group   F-43m
Calculated total energy   -9.1 eV for the cell shown



# 10
VASP calculation (PBE) on crystalline RbPuHf at its relaxed geometry.

Cell lengths 6.7496, 6.7496, 6.7496 Å; angles 60.00, 60.00, 60.00 degrees
Element x y z (fractional)
Hf1 0.0000 0.0000 0.0000
Pu1 0.2500 0.2500 0.2500
Rb1 0.7500 0.7500 0.7500

Space group   F-43m
Size of the total moment   9.4 μB/f.u.
Calculated total energy   -18.8 eV for the cell shown



# 11
VASP calculation (PBE) on crystalline ZrTaInFe at its relaxed geometry.

Cell lengths 4.6408, 4.6408, 4.6408 Å; angles 60.00, 60.00, 60.00 degrees
Element x y z (fractional)
Fe1 0.7500 0.7500 0.7500
In1 0.0000 0.0000 0.0000
Ta1 0.5000 0.5000 0.5000
Zr1 0.2500 0.2500 0.2500

Space group   F-43m
Size of the total moment   1.9 μB/f.u.
Calculated total energy   -30.3 eV for the cell shown



# 12
VASP calculation (PBE) on crystalline ZnNi2Bi at its relaxed geometry.

Cell lengths 4.4768, 4.4768, 4.4768 Å; angles 60.00, 60.00, 60.00 degrees
Element x y z (fractional)
Bi1 0.0000 0.0000 0.0000
Ni1 0.5000 0.5000 0.5000
Ni2 0.7500 0.7500 0.7500
Zn1 0.2500 0.2500 0.2500

Space group   F-43m
Size of the total moment   0.0 μB/f.u.
Calculated total energy   -15.4 eV for the cell shown



# 13
VASP calculation (PBE) on crystalline DyHfBe2Si2 at its relaxed geometry.

Cell lengths 3.7708, 3.7708, 7.6352 Å; angles 90.00, 90.00, 120.00 degrees
Element x y z (fractional)
Be1 0.6667 0.3333 0.2735
Be2 0.3333 0.6667 0.7265
Dy1 0.0000 0.0000 0.0000
Hf1 0.0000 0.0000 0.5000
Si1 0.3333 0.6667 0.2646
Si2 0.6667 0.3333 0.7354

Space group   P-3m1
Size of the total moment   0.0 μB/f.u.
Calculated total energy   -36.8 eV for the cell shown



# 14
VASP calculation (PBE) on crystalline Tm3In3Pd2Au at its relaxed geometry.

Cell lengths 7.6892, 7.6892, 3.8621 Å; angles 90.00, 90.00, 120.00 degrees
Element x y z (fractional)
Au1 0.0000 0.0000 0.0000
In1 0.7315 0.0000 0.5000
In2 0.2685 0.2685 0.5000
In3 0.0000 0.7315 0.5000
Pd1 0.6667 0.3333 0.5000
Pd2 0.3333 0.6667 0.5000
Tm1 0.4057 0.0000 0.0000
Tm2 0.0000 0.4057 0.0000
Tm3 0.5943 0.5943 0.0000

Space group   P-62m
Size of the total moment   0.0 μB/f.u.
Calculated total energy   -42.2 eV for the cell shown



# 15
VASP calculation (PBE) on crystalline PrNdTlFe2 at its relaxed geometry.

Cell lengths 4.0287, 7.5019, 7.5019 Å; angles 30.52, 90.00, 90.00 degrees
Element x y z (fractional)
Fe1 0.5000 0.2075 0.2075
Fe2 0.5000 0.7909 0.7909
Nd1 0.0000 0.6367 0.6367
Pr1 0.0000 0.3639 0.3639
Tl1 0.5000 0.0010 0.0010

Space group   Amm2
Size of the total moment   2.9 μB/f.u.
Calculated total energy   -28.8 eV for the cell shown



# 16
VASP calculation (PBE) on crystalline Ta4TlPbC2 at its relaxed geometry.

Cell lengths 3.2500, 3.2500, 14.3121 Å; angles 90.00, 90.00, 120.00 degrees
Element x y z (fractional)
C1 0.3333 0.6667 0.2504
C2 0.3333 0.6667 0.7496
Pb1 0.0000 0.0000 0.0000
Ta1 0.6667 0.3333 0.1702
Ta2 0.0000 0.0000 0.3303
Ta3 0.0000 0.0000 0.6697
Ta4 0.6667 0.3333 0.8298
Tl1 0.6667 0.3333 0.5000

Space group   P-6m2
Size of the total moment   0.0 μB/f.u.
Calculated total energy   -73.4 eV for the cell shown



# 17
VASP calculation (PBE) on crystalline Ba4Te3Ir at its relaxed geometry.

Cell lengths 6.8576, 4.9793, 9.4165 Å; angles 90.00, 103.22, 90.00 degrees
Element x y z (fractional)
Ba1 0.6827 0.5000 0.1596
Ba2 0.2082 0.0000 0.3157
Ba3 0.8128 0.5000 0.6733
Ba4 0.3255 0.0000 0.8590
Ir1 0.0557 0.5000 0.0205
Te1 0.7348 0.0000 0.4090
Te2 0.2925 0.5000 0.5997
Te3 0.8877 0.0000 0.9631

Space group   Pm
Size of the total moment   0.1 μB/f.u.
Calculated total energy   -34.9 eV for the cell shown



# 18
VASP calculation (PBE) on crystalline KPmNp at its relaxed geometry.

Cell lengths 5.7406, 5.7406, 5.7406 Å; angles 60.00, 60.00, 60.00 degrees
Element x y z (fractional)
K1 0.5000 0.5000 0.5000
Np1 0.0000 0.0000 0.0000
Pm1 0.2500 0.2500 0.2500

Space group   F-43m
Size of the total moment   7.2 μB/f.u.
Calculated total energy   -13.8 eV for the cell shown



# 19
VASP calculation (PBE) on crystalline GdGe3Sb at its relaxed geometry.

Cell lengths 5.4017, 5.4017, 5.4017 Å; angles 90.00, 90.00, 90.00 degrees
Element x y z (fractional)
Gd1 0.0000 0.0000 0.0000
Ge1 0.5000 0.0000 0.0000
Ge2 0.0000 0.5000 0.0000
Ge3 0.0000 0.0000 0.5000
Sb1 0.5000 0.5000 0.5000

Space group   Pm-3m
Size of the total moment   0.0 μB/f.u.
Calculated total energy   -18.8 eV for the cell shown



# 20
VASP calculation (PBE) on crystalline Zr4CdSbN2 at its relaxed geometry.

Cell lengths 3.3748, 3.3748, 14.2573 Å; angles 90.00, 90.00, 120.00 degrees
Element x y z (fractional)
Cd1 0.0000 0.0000 0.0000
N1 0.6667 0.3333 0.2530
N2 0.6667 0.3333 0.7470
Sb1 0.3333 0.6667 0.5000
Zr1 0.3333 0.6667 0.1722
Zr2 0.0000 0.0000 0.3414
Zr3 0.0000 0.0000 0.6586
Zr4 0.3333 0.6667 0.8278

Space group   P-6m2
Size of the total moment   0.0 μB/f.u.
Calculated total energy   -64.0 eV for the cell shown



# 21
VASP calculation (PBE) on crystalline Dy3Tm3NiTe2 at its relaxed geometry.

Cell lengths 8.3595, 8.3595, 3.8510 Å; angles 90.00, 90.00, 120.00 degrees
Element x y z (fractional)
Dy1 0.7596 0.0000 0.5000
Dy2 0.2404 0.2404 0.5000
Dy3 0.0000 0.7596 0.5000
Ni1 0.0000 0.0000 0.0000
Te1 0.6667 0.3333 0.5000
Te2 0.3333 0.6667 0.5000
Tm1 0.4007 0.0000 0.0000
Tm2 0.0000 0.4007 0.0000
Tm3 0.5993 0.5993 0.0000

Space group   P-62m
Size of the total moment   0.8 μB/f.u.
Calculated total energy   -45.1 eV for the cell shown



# 22
VASP calculation (PBE) on crystalline TbEr2NiSn3Ir2 at its relaxed geometry.

Cell lengths 3.7412, 7.5687, 7.5687 Å; angles 120.11, 90.00, 90.00 degrees
Element x y z (fractional)
Er1 0.0000 0.5932 0.0000
Er2 0.0000 0.0000 0.5932
Ir1 0.5000 0.6691 0.3324
Ir2 0.5000 0.3324 0.6691
Ni1 0.0000 0.9987 0.9987
Sn1 0.5000 0.9993 0.2562
Sn2 0.5000 0.7441 0.7441
Sn3 0.5000 0.2562 0.9993
Tb1 0.0000 0.4071 0.4071

Space group   Amm2
Size of the total moment   0.0 μB/f.u.
Calculated total energy   -56.2 eV for the cell shown



# 23
VASP calculation (PBE) on crystalline SmHfIr at its relaxed geometry.

Cell lengths 4.6384, 4.6384, 4.6384 Å; angles 60.00, 60.00, 60.00 degrees
Element x y z (fractional)
Hf1 0.2500 0.2500 0.2500
Ir1 0.7500 0.7500 0.7500
Sm1 0.0000 0.0000 0.0000

Space group   F-43m
Size of the total moment   0.0 μB/f.u.
Calculated total energy   -21.6 eV for the cell shown
ΔE_f   624 meV/atom



# 24
VASP calculation (PBE) on crystalline TmMgTe at its relaxed geometry.

Cell lengths 5.0597, 5.0597, 5.0597 Å; angles 60.00, 60.00, 60.00 degrees
Element x y z (fractional)
Mg1 0.2500 0.2500 0.2500
Te1 0.0000 0.0000 0.0000
Tm1 0.7500 0.7500 0.7500

Space group   F-43m
Size of the total moment   0.6 μB/f.u.
Calculated total energy   -9.7 eV for the cell shown



# 25
VASP calculation (PBE) on crystalline NaInTeOs at its relaxed geometry.

Cell lengths 4.9284, 4.9284, 4.9284 Å; angles 60.00, 60.00, 60.00 degrees
Element x y z (fractional)
In1 0.2500 0.2500 0.2500
Na1 0.7500 0.7500 0.7500
Os1 0.0000 0.0000 0.0000
Te1 0.5000 0.5000 0.5000

Space group   F-43m
Size of the total moment   0.1 μB/f.u.
Calculated total energy   -15.3 eV for the cell shown



# 26
VASP calculation (PBE) on crystalline AlMoI6 at its relaxed geometry.

Cell lengths 7.8333, 7.8333, 7.8333 Å; angles 60.00, 60.00, 60.00 degrees
Element x y z (fractional)
Al1 0.5000 0.5000 0.5000
I1 0.4967 0.0033 0.0033
I2 0.0033 0.4967 0.0033
I3 0.4967 0.4967 0.0033
I4 0.4967 0.0033 0.4967
I5 0.0033 0.0033 0.4967
I6 0.0033 0.4967 0.4967
Mo1 0.2500 0.2500 0.2500

Space group   F-43m
Size of the total moment   1.0 μB/f.u.
Calculated total energy   -23.6 eV for the cell shown